A relaxed Sm3Dy3Ho5 crystal. Source: the Alexandria database, functional PBE-GGA.

abc: 9.6406 9.6406 5.4573
angles: 90.00 90.00 120.00
Space group P-62m (No. 189)
One atom of each set of equivalent atoms:
Sm 0.0000 0.6339 0.0000 [3 per cell]
Dy 0.0000 0.4497 0.5000 [3 per cell]
Ho 0.0000 0.2683 0.0000 [3 per cell]
Ho 0.3333 0.6667 0.0000 [2 per cell]

Total DFT energy (no corrections) ... -3.806 eV/atom
Formation energy ... 8.99 eV per formula unit